The following is a PBE calculation of a geometry-optimized Li2Sm2Zn structure, from the Alexandria database.

```
data_Li2Sm2Zn
_cell_length_a 3.689
_cell_length_b 3.689
_cell_length_c 18.540
_cell_angle_alpha 90.00
_cell_angle_beta 90.00
_cell_angle_gamma 90.00
_symmetry_space_group_name_H-M 'I 4/m m m'
_symmetry_Int_Tables_number 139
_symmetry_space_group_name_Hall '-I 4 2'
loop_
_atom_site_label
_atom_site_type_symbol
_atom_site_fract_x
_atom_site_fract_y
_atom_site_fract_z
Li1 Li 0.000 0.500 0.250
Sm1 Sm 0.000 0.000 0.092
Zn1 Zn 0.000 0.000 0.500
```

Values from the calculation:
N(E_F): 10.19 states/eV/cell
Crystal system: tetragonal
Total DFT energy (no corrections): -28.82 eV for the cell shown